Entry from Alexandria via LeMat-Bulk: a geometry-optimized Cs2Rb3Au2 structure (PBE).

Computed properties:
Magnetic moment = 0.000 μB/atom
Raw total energy = -1.76 eV/atom
Density of states at the Fermi level = 4.9 states/eV/cell
Energy of formation = -0.170 eV/atom

Cell: 5.112 8.258 10.497 Å, 111.31 90.00 108.03°
Atoms (fractional coordinates):
Cs (0.833, 0.666, 0.182)
Cs (0.167, 0.334, 0.818)
Rb (0.500, 0.000, 0.000)
Rb (0.632, 0.264, 0.428)
Rb (0.368, 0.736, 0.572)
Au (0.830, 0.661, 0.799)
Au (0.170, 0.339, 0.201)

---

Entry from Alexandria via LeMat-Bulk: a geometry-optimized CsRb5Au3 structure (PBE).

Computed properties:
Magnetic moment = 0.148 μB/atom
Raw total energy = -1.89 eV/atom
Density of states at the Fermi level = 17.4 states/eV/cell
Energy of formation = -0.170 eV/atom

Cell: 4.978 8.504 25.460 Å, 89.38 90.00 90.00°
Atoms (fractional coordinates):
Cs (0.000, 0.709, 0.235)
Cs (0.000, 0.291, 0.765)
Rb (0.500, 0.792, 0.734)
Rb (0.500, 0.781, 0.063)
Rb (0.500, 0.815, 0.409)
Rb (0.000, 0.720, 0.899)
Rb (0.000, 0.686, 0.572)
Rb (0.000, 0.314, 0.428)
Rb (0.000, 0.280, 0.101)
Rb (0.500, 0.219, 0.937)
Rb (0.500, 0.185, 0.591)
Rb (0.500, 0.208, 0.266)
Au (0.000, 0.000, 0.000)
Au (0.000, 0.993, 0.664)
Au (0.000, 0.007, 0.336)
Au (0.500, 0.506, 0.836)
Au (0.500, 0.500, 0.500)
Au (0.500, 0.494, 0.164)

---

Entry from Alexandria via LeMat-Bulk: a geometry-optimized Cs12Rb3Au4 structure (PBE).

Computed properties:
Magnetic moment = 0.000 μB/atom
Raw total energy = -1.51 eV/atom
Density of states at the Fermi level = 22.4 states/eV/cell
Energy of formation = -0.131 eV/atom

Cell: 12.680 12.680 12.680 Å, 109.47 109.47 109.47°
Atoms (fractional coordinates):
Cs (0.248, 0.752, 0.001)
Cs (0.752, 0.248, 0.999)
Cs (0.248, 0.248, 0.496)
Cs (0.248, 0.999, 0.752)
Cs (0.001, 0.248, 0.752)
Cs (0.504, 0.752, 0.752)
Cs (0.752, 0.504, 0.752)
Cs (0.999, 0.752, 0.248)
Cs (0.752, 0.752, 0.504)
Cs (0.752, 0.001, 0.248)
Cs (0.496, 0.248, 0.248)
Cs (0.248, 0.496, 0.248)
Rb (0.500, 0.500, 0.000)
Rb (0.000, 0.500, 0.500)
Rb (0.500, 0.000, 0.500)
Au (0.500, 0.500, 0.500)
Au (0.500, 0.000, 0.000)
Au (0.000, 0.000, 0.500)
Au (0.000, 0.500, 0.000)

---

Entry from Alexandria via LeMat-Bulk: a geometry-optimized Cs2Rb8Au3 structure (PBE).

Computed properties:
Magnetic moment = 0.000 μB/atom
Raw total energy = -1.59 eV/atom
Density of states at the Fermi level = 8.3 states/eV/cell
Energy of formation = -0.107 eV/atom

Cell: 8.613 14.675 14.675 Å, 35.42 68.39 68.39°
Atoms (fractional coordinates):
Cs (0.775, 0.756, 0.756)
Cs (0.225, 0.244, 0.244)
Rb (0.575, 0.064, 0.064)
Rb (0.425, 0.936, 0.936)
Rb (0.474, 0.389, 0.389)
Rb (0.526, 0.611, 0.611)
Rb (0.917, 0.182, 0.663)
Rb (0.917, 0.663, 0.182)
Rb (0.083, 0.337, 0.818)
Rb (0.083, 0.818, 0.337)
Au (0.000, 0.000, 0.000)
Au (0.500, 0.661, 0.339)
Au (0.500, 0.339, 0.661)

---

Entry from Alexandria via LeMat-Bulk: a geometry-optimized CsRb8Au2 structure (PBE).

Computed properties:
Magnetic moment = 0.000 μB/atom
Raw total energy = -1.47 eV/atom
E above lowest polymorph = 0 meV per atom
Density of states at the Fermi level = 6.7 states/eV/cell
Energy of formation = -0.090 eV/atom

Cell: 7.389 10.495 10.495 Å, 113.69 94.87 94.87°
Atoms (fractional coordinates):
Cs (0.500, 0.000, 0.000)
Rb (0.923, 0.947, 0.654)
Rb (0.923, 0.654, 0.947)
Rb (0.255, 0.589, 0.589)
Rb (0.500, 0.725, 0.275)
Rb (0.500, 0.275, 0.725)
Rb (0.745, 0.411, 0.411)
Rb (0.077, 0.346, 0.053)
Rb (0.077, 0.053, 0.346)
Au (0.000, 0.319, 0.681)
Au (0.000, 0.681, 0.319)

---

Entry from Alexandria via LeMat-Bulk: a geometry-optimized Cs2Rb6Au3 structure (PBE).

Computed properties:
Magnetic moment = 0.000 μB/atom
Raw total energy = -1.67 eV/atom
Density of states at the Fermi level = 8.5 states/eV/cell
Energy of formation = -0.098 eV/atom

Cell: 6.156 11.219 11.219 Å, 120.00 90.00 90.00°
Atoms (fractional coordinates):
Cs (0.000, 0.667, 0.333)
Cs (0.000, 0.333, 0.667)
Rb (0.500, 0.674, 0.674)
Rb (0.500, 0.000, 0.326)
Rb (0.000, 0.235, 0.235)
Rb (0.000, 0.765, 0.000)
Rb (0.500, 0.326, 0.000)
Rb (0.000, 0.000, 0.765)
Au (0.500, 0.364, 0.364)
Au (0.500, 0.636, 0.000)
Au (0.500, 0.000, 0.636)

---

Entry from Alexandria via LeMat-Bulk: a geometry-optimized Cs2RbAu structure (PBE).

Computed properties:
Magnetic moment = 0.000 μB/atom
Raw total energy = -1.62 eV/atom
E above lowest polymorph = 45 meV per atom
Density of states at the Fermi level = 3.5 states/eV/cell
Energy of formation = -0.133 eV/atom

Cell: 12.842 12.842 9.763 Å, 48.88 48.88 90.00°
Atoms (fractional coordinates):
Cs (0.761, 0.125, 0.250)
Cs (0.989, 0.625, 0.250)
Cs (0.375, 0.239, 0.750)
Cs (0.875, 0.011, 0.750)
Au (0.000, 0.000, 0.000)
Au (0.750, 0.250, 0.500)
Rb (0.500, 0.500, 0.000)
Rb (0.250, 0.750, 0.500)

---

Entry from Alexandria via LeMat-Bulk: a geometry-optimized Cs3Rb2Au4 structure (PBE).

Computed properties:
Magnetic moment = 0.001 μB/atom
Raw total energy = -2.23 eV/atom
E above lowest polymorph = 0 meV per atom
Density of states at the Fermi level = 3.9 states/eV/cell
Energy of formation = -0.270 eV/atom

Cell: 5.159 8.973 11.411 Å, 75.26 76.94 73.30°
Atoms (fractional coordinates):
Cs (0.000, 0.000, 0.000)
Cs (0.205, 0.396, 0.194)
Cs (0.795, 0.604, 0.806)
Rb (0.607, 0.177, 0.609)
Rb (0.393, 0.823, 0.391)
Au (0.794, 0.098, 0.313)
Au (0.206, 0.902, 0.687)
Au (0.404, 0.302, 0.889)
Au (0.596, 0.698, 0.111)

---

Entry from Alexandria via LeMat-Bulk: a geometry-optimized Cs12RbAu7 structure (PBE).

Computed properties:
Magnetic moment = 0.000 μB/atom
Raw total energy = -1.94 eV/atom
E above lowest polymorph = 0 meV per atom
Density of states at the Fermi level = 12.6 states/eV/cell
Energy of formation = -0.231 eV/atom

Cell: 11.666 11.666 11.666 Å, 107.38 107.38 107.38°
Atoms (fractional coordinates):
Cs (0.922, 0.309, 0.777)
Cs (0.691, 0.223, 0.078)
Cs (0.445, 0.156, 0.374)
Cs (0.844, 0.626, 0.555)
Cs (0.223, 0.078, 0.691)
Cs (0.626, 0.555, 0.844)
Cs (0.374, 0.445, 0.156)
Cs (0.777, 0.922, 0.309)
Cs (0.156, 0.374, 0.445)
Cs (0.555, 0.844, 0.626)
Cs (0.309, 0.777, 0.922)
Cs (0.078, 0.691, 0.223)
Rb (0.000, 0.000, 0.000)
Au (0.968, 0.658, 0.890)
Au (0.342, 0.110, 0.032)
Au (0.110, 0.032, 0.342)
Au (0.500, 0.500, 0.500)
Au (0.890, 0.968, 0.658)
Au (0.658, 0.890, 0.968)
Au (0.032, 0.342, 0.110)

---

Entry from Alexandria via LeMat-Bulk: a geometry-optimized Cs3RbAu3 structure (PBE).

Computed properties:
Magnetic moment = 0.068 μB/atom
Raw total energy = -2.04 eV/atom
E above lowest polymorph = 141 meV per atom
Density of states at the Fermi level = 10.2 states/eV/cell
Energy of formation = -0.136 eV/atom

Cell: 9.936 9.936 9.936 Å, 90.00 90.00 90.00°
Atoms (fractional coordinates):
Cs (0.250, 0.000, 0.500)
Cs (0.000, 0.500, 0.250)
Cs (0.500, 0.750, 0.000)
Cs (0.750, 0.000, 0.500)
Cs (0.000, 0.500, 0.750)
Cs (0.500, 0.250, 0.000)
Au (0.000, 0.250, 0.500)
Au (0.000, 0.750, 0.500)
Au (0.500, 0.000, 0.750)
Au (0.750, 0.500, 0.000)
Au (0.500, 0.000, 0.250)
Au (0.250, 0.500, 0.000)
Rb (0.500, 0.500, 0.500)
Rb (0.000, 0.000, 0.000)

---

Entry from Alexandria via LeMat-Bulk: a geometry-optimized Cs8Rb2Au structure (PBE).

Computed properties:
Magnetic moment = 0.000 μB/atom
Raw total energy = -1.15 eV/atom
E above lowest polymorph = 0 meV per atom
Density of states at the Fermi level = 11.1 states/eV/cell
Energy of formation = -0.057 eV/atom

Cell: 8.867 10.244 13.709 Å, 111.94 109.35 90.00°
Atoms (fractional coordinates):
Cs (0.816, 0.307, 0.116)
Cs (0.816, 0.809, 0.116)
Cs (0.184, 0.693, 0.884)
Cs (0.572, 0.349, 0.698)
Cs (0.184, 0.191, 0.884)
Cs (0.651, 0.870, 0.741)
Cs (0.349, 0.130, 0.259)
Cs (0.428, 0.651, 0.302)
Rb (0.038, 0.754, 0.508)
Rb (0.962, 0.246, 0.492)
Au (0.000, 0.000, 0.000)

---

Entry from Alexandria via LeMat-Bulk: a geometry-optimized Cs7RbAu4 structure (PBE).

Computed properties:
Magnetic moment = 0.000 μB/atom
Raw total energy = -1.88 eV/atom
Density of states at the Fermi level = 6.5 states/eV/cell
Energy of formation = -0.207 eV/atom

Cell: 4.969 9.452 16.326 Å, 90.00 90.00 90.00°
Atoms (fractional coordinates):
Cs (0.500, 0.000, 0.000)
Cs (0.500, 0.500, 0.500)
Cs (0.500, 0.746, 0.246)
Cs (0.500, 0.254, 0.754)
Cs (0.500, 0.254, 0.246)
Cs (0.500, 0.746, 0.754)
Cs (0.000, 0.000, 0.500)
Rb (0.000, 0.500, 0.000)
Au (0.000, 0.500, 0.334)
Au (0.000, 0.000, 0.832)
Au (0.000, 0.000, 0.168)
Au (0.000, 0.500, 0.666)